# 1
This record from Alexandria describes crystalline ZrMo2Ir at its relaxed geometry. The functional is GGA-PBE.

Properties
Formation energy from the elements, eV/atom: 0.174
Uncorrected energy, eV per cell: -38.38

Lattice parameters (Å, degrees): 9.9117 9.9117 9.9117 16.45 16.45 16.45
With the nearest neighbours (Å) after each atom.
Sites, in units of the cell vectors:
Ir: 0.7500 0.7500 0.7500  6 Mo 2.75, 6 Ir 2.84
Mo: 0.0081 0.0081 0.0081  3 Ir 2.75, 6 Mo 2.84
Mo: 0.4919 0.4919 0.4919  3 Ir 2.75, 6 Mo 2.84
Zr: 0.2500 0.2500 0.2500  6 Zr 2.84, 6 Mo 3.14

# 2
This record from Alexandria describes crystalline Na3Zr2MoN6 at its relaxed geometry. The functional is GGA-PBE.

Properties
Uncorrected energy, eV per cell: -89.64

Lattice parameters (Å, degrees): 5.5808 5.5808 5.9963 98.92 98.92 120.01
With the nearest neighbours (Å) after each atom.
Sites, in units of the cell vectors:
Na: 0.1652 0.8348 0.5000  6 N 2.50-2.63
Na: 0.8348 0.1652 0.5000  6 N 2.50-2.63
Na: 0.5000 0.5000 0.5000  6 N 2.51-2.62
Zr: 0.3333 0.6667 0.0000  6 N 2.22
Zr: 0.6667 0.3333 0.0000  6 N 2.22
Mo: 0.0000 0.0000 0.0000  6 N 2.08
N: 0.9347 0.6201 0.8039  1 Mo 2.08, 2 Zr 2.22
N: 0.7507 0.7507 0.1952  1 Mo 2.08, 2 Zr 2.22
N: 0.0653 0.3799 0.1961  1 Mo 2.08, 2 Zr 2.22
N: 0.6201 0.9347 0.8039  1 Mo 2.08, 2 Zr 2.22
N: 0.2493 0.2493 0.8048  1 Mo 2.08, 2 Zr 2.22
N: 0.3799 0.0653 0.1961  1 Mo 2.08, 2 Zr 2.22

# 3
This record from Alexandria describes crystalline HfCoB at its relaxed geometry. The functional is GGA-PBE.

Properties
Formation energy from the elements, eV/atom: -0.584
Uncorrected energy, eV per cell: -50.98

Lattice parameters (Å, degrees): 3.4178 4.7411 5.0914 75.09 70.39 68.87
With the nearest neighbours (Å) after each atom.
Sites, in units of the cell vectors:
Hf: 0.9315 0.8286 0.3083  5 B 2.51-2.59, 6 Co 2.71-2.80
Hf: 0.0685 0.1714 0.6917  5 B 2.51-2.59, 6 Co 2.71-2.80
Co: 0.3044 0.2908 0.1005  3 B 2.11-2.22
Co: 0.6956 0.7092 0.8995  3 B 2.11-2.22
B: 0.6365 0.4109 0.3162  1 B 2.04, 3 Co 2.11-2.22
B: 0.3635 0.5891 0.6838  1 B 2.04, 3 Co 2.11-2.22

# 4
This record from Alexandria describes crystalline ScAl at its relaxed geometry. The functional is GGA-PBE.

Properties
Formation energy from the elements, eV/atom: -0.409
Uncorrected energy, eV per cell: -21.79

Lattice parameters (Å, degrees): 5.7841 5.7841 4.3751 90.00 90.00 146.56
With the nearest neighbours (Å) after each atom.
Sites, in units of the cell vectors:
Sc: 0.6618 0.3382 0.7500  7 Al 2.93-3.06
Sc: 0.3382 0.6618 0.2500  7 Al 2.93-3.06
Al: 0.9301 0.0699 0.7500  2 Al 2.68, 5 Sc 2.93-2.97
Al: 0.0699 0.9301 0.2500  2 Al 2.68, 5 Sc 2.93-2.97

# 5
This record from Alexandria describes crystalline CaPr2PaAs4 at its relaxed geometry. The functional is GGA-PBE.

Properties
Formation energy from the elements, eV/atom: -1.323
Uncorrected energy, eV per cell: -50.24

Lattice parameters (Å, degrees): 4.2422 7.2966 7.3265 109.24 90.00 90.00
With the nearest neighbours (Å) after each atom.
Sites, in units of the cell vectors:
Ca: 0.5000 0.5000 0.0000  6 As 2.97-2.99
Pr: 0.5000 0.0000 0.5000  6 As 3.00-3.01
Pr: 0.0000 0.5000 0.5000  6 As 3.08-3.10
Pa: 0.0000 0.0000 0.0000  6 As 2.86-2.92
As: 0.5000 0.2376 0.2353  2 Pa 2.92, 1 Ca 2.97, 3 Pr 3.00-3.08
As: 0.5000 0.7624 0.7647  2 Pa 2.92, 1 Ca 2.97, 3 Pr 3.00-3.08
As: 0.0000 0.2412 0.7618  1 Pa 2.86, 2 Ca 2.99, 3 Pr 3.01-3.10
As: 0.0000 0.7588 0.2382  1 Pa 2.86, 2 Ca 2.99, 3 Pr 3.01-3.10

# 6
This record from Alexandria describes crystalline AcDy3Y4 at its relaxed geometry. The functional is GGA-PBE.

Properties
Formation energy from the elements, eV/atom: 0.448
Uncorrected energy, eV per cell: -40.18

Lattice parameters (Å, degrees): 3.4738 8.9829 8.9829 96.85 90.00 90.00
With the nearest neighbours (Å) after each atom.
Sites, in units of the cell vectors:
Ac: 0.5000 0.0000 0.0000  2 Ac 3.47, 6 Y 3.50-3.58
Dy: 0.0000 0.0000 0.5000  6 Y 3.36-3.45, 2 Dy 3.47
Dy: 0.5000 0.5000 0.5000  6 Y 3.22-3.32, 2 Dy 3.47
Dy: 0.0000 0.5000 0.0000  6 Y 3.36-3.45, 2 Dy 3.47
Y: 0.0000 0.7373 0.7373  4 Dy 3.32-3.36, 2 Y 3.47, 2 Ac 3.58
Y: 0.5000 0.2606 0.7394  5 Dy 3.22-3.45, 2 Y 3.47, 1 Ac 3.50
Y: 0.0000 0.2627 0.2627  4 Dy 3.32-3.36, 2 Y 3.47, 2 Ac 3.58
Y: 0.5000 0.7394 0.2606  5 Dy 3.22-3.45, 2 Y 3.47, 1 Ac 3.50

# 7
This record from Alexandria describes crystalline Li2TaSi at its relaxed geometry. The functional is GGA-PBE.

Properties
Uncorrected energy, eV per cell: -21.12

Lattice parameters (Å, degrees): 2.7684 2.7684 8.9484 90.00 90.00 100.73
With the nearest neighbours (Å) after each atom.
Sites, in units of the cell vectors:
Li: 0.0000 0.0000 0.9905  4 Li 2.77, 2 Ta 2.97
Li: 0.5000 0.5000 0.2842  4 Si 2.63-2.89, 4 Li 2.77
Si: 0.0000 0.0000 0.5023  4 Li 2.63-2.89, 4 Ta 2.65-2.91, 4 Si 2.77
Ta: 0.5000 0.5000 0.7230  4 Si 2.65-2.91, 4 Ta 2.77

# 8
This record from Alexandria describes crystalline ZnP2W at its relaxed geometry. The functional is GGA-PBE.

Properties
Formation energy from the elements, eV/atom: 0.254
Uncorrected energy, eV per cell: -24.03

Lattice parameters (Å, degrees): 7.6325 7.6325 7.6325 23.01 23.01 23.01
With the nearest neighbours (Å) after each atom.
Sites, in units of the cell vectors:
P: 0.9933 0.9933 0.9933  3 P 2.41, 3 Zn 2.59
P: 0.2528 0.2528 0.2528  3 P 2.41, 3 W 2.46
W: 0.5087 0.5087 0.5087  3 P 2.46
Zn: 0.7451 0.7451 0.7451  3 P 2.59, 3 W 2.79

# 9
This record from Alexandria describes crystalline K6Rb12Au at its relaxed geometry. The functional is GGA-PBE.

Properties
Formation energy from the elements, eV/atom: -0.027
Uncorrected energy, eV per cell: -22.00

Lattice parameters (Å, degrees): 11.7062 11.7062 11.7062 78.28 78.28 78.28
With the nearest neighbours (Å) after each atom.
Sites, in units of the cell vectors:
K: 0.1858 0.8675 0.1859  1 Au 3.32
K: 0.1325 0.8141 0.8142  1 Au 3.32
K: 0.8141 0.8142 0.1325  1 Au 3.32
K: 0.8142 0.1325 0.8141  1 Au 3.32
K: 0.8675 0.1859 0.1858  1 Au 3.32
K: 0.1859 0.1858 0.8675  1 Au 3.32
Rb: 0.5313 0.1934 0.5313  9 Rb 4.86-4.99, 3 K 5.00-5.04
Rb: 0.1934 0.5313 0.5313  9 Rb 4.86-4.99, 3 K 5.00-5.04
Rb: 0.5313 0.5313 0.1934  9 Rb 4.86-4.99, 3 K 5.00-5.04
Rb: 0.4687 0.8066 0.4687  9 Rb 4.86-4.99, 3 K 5.00-5.04
Rb: 0.8066 0.4687 0.4687  9 Rb 4.86-4.99, 3 K 5.00-5.04
Rb: 0.4687 0.4687 0.8066  9 Rb 4.86-4.99, 3 K 5.00-5.04
Rb: 0.4758 0.1361 0.1360  7 Rb 4.82-5.02, 5 K 4.88-4.95
Rb: 0.8640 0.5242 0.8639  7 Rb 4.82-5.02, 5 K 4.88-4.95
Rb: 0.8639 0.8640 0.5242  7 Rb 4.82-5.02, 5 K 4.88-4.95
Rb: 0.5242 0.8639 0.8640  7 Rb 4.82-5.02, 5 K 4.88-4.95
Rb: 0.1360 0.4758 0.1361  7 Rb 4.82-5.02, 5 K 4.88-4.95
Rb: 0.1361 0.1360 0.4758  7 Rb 4.82-5.02, 5 K 4.88-4.95
Au: 0.0000 0.0000 0.0000  6 K 3.32

# 10
This record from Alexandria describes crystalline CaAsP at its relaxed geometry. The functional is GGA-PBE.

Properties
Formation energy from the elements, eV/atom: -0.274
Uncorrected energy, eV per cell: -12.88

Lattice parameters (Å, degrees): 4.6815 4.6815 4.6815 60.00 60.00 60.00
With the nearest neighbours (Å) after each atom.
Sites, in units of the cell vectors:
As: 0.0000 0.0000 0.0000  4 P 2.87
Ca: 0.5000 0.5000 0.5000  4 P 2.87
P: 0.2500 0.2500 0.2500  4 As 2.87, 4 Ca 2.87

# 11
This record from Alexandria describes crystalline Tb4Sm3Tl at its relaxed geometry. The functional is GGA-PBE.

Properties
Formation energy from the elements, eV/atom: -0.056
Uncorrected energy, eV per cell: -70.98

Lattice parameters (Å, degrees): 7.0596 6.2087 11.4395 90.00 90.00 90.00
With the nearest neighbours (Å) after each atom.
Sites, in units of the cell vectors:
Tb: 0.1888 0.8338 0.0000  6 Tb 3.48-3.64, 4 Sm 3.52-3.54, 2 Tl 3.53-3.59
Tb: 0.4355 0.3194 0.0000  6 Sm 3.47-3.71, 2 Tl 3.48-3.59, 4 Tb 3.48-3.64
Tb: 0.9392 0.0159 0.2459  1 Tl 3.46, 6 Sm 3.48-3.67, 5 Tb 3.51-3.58
Tb: 0.4392 0.9841 0.2541  1 Tl 3.46, 6 Sm 3.48-3.67, 5 Tb 3.51-3.58
Tb: 0.9355 0.6806 0.5000  6 Sm 3.47-3.71, 2 Tl 3.48-3.59, 4 Tb 3.48-3.64
Tb: 0.6888 0.1662 0.5000  6 Tb 3.48-3.64, 4 Sm 3.52-3.54, 2 Tl 3.53-3.59
Tb: 0.4392 0.9841 0.7459  1 Tl 3.46, 6 Sm 3.48-3.67, 5 Tb 3.51-3.58
Tb: 0.9392 0.0159 0.7541  1 Tl 3.46, 6 Sm 3.48-3.67, 5 Tb 3.51-3.58
Sm: 0.6903 0.8422 0.0000  8 Tb 3.47-3.71, 2 Sm 3.55, 2 Tl 3.57-3.60
Sm: 0.1894 0.5018 0.2519  7 Tb 3.48-3.67, 2 Tl 3.50-3.51, 3 Sm 3.53-3.55
Sm: 0.6894 0.4982 0.2481  7 Tb 3.48-3.67, 2 Tl 3.50-3.51, 3 Sm 3.53-3.55
Sm: 0.1903 0.1578 0.5000  8 Tb 3.47-3.71, 2 Sm 3.55, 2 Tl 3.57-3.60
Sm: 0.6894 0.4982 0.7519  7 Tb 3.48-3.67, 2 Tl 3.50-3.51, 3 Sm 3.53-3.55
Sm: 0.1894 0.5018 0.7481  7 Tb 3.48-3.67, 2 Tl 3.50-3.51, 3 Sm 3.53-3.55
Tl: 0.9434 0.3393 0.0000  6 Tb 3.46-3.59, 6 Sm 3.50-3.60
Tl: 0.4434 0.6607 0.5000  6 Tb 3.46-3.59, 6 Sm 3.50-3.60

# 12
This record from Alexandria describes crystalline CeNbN at its relaxed geometry. The functional is GGA-PBE.

Properties
Uncorrected energy, eV per cell: -25.65

Lattice parameters (Å, degrees): 2.9913 2.9913 6.3773 103.56 103.56 90.00
With the nearest neighbours (Å) after each atom.
Sites, in units of the cell vectors:
Nb: 0.2741 0.2741 0.5482  4 N 2.14
Ce: 0.9801 0.9801 0.9602  1 N 2.82, 4 Ce 2.99
N: 0.7458 0.7458 0.4916  4 Nb 2.14